Entry 1:
# GaSeBr2F

A relaxed GaSeBr2F crystal (PBE, Alexandria via LeMat-Bulk).

a b c (Å): 5.0590 5.0590 5.2617
angles (deg): 90.00 90.00 90.00
Last column: nearest neighbours and their distance in Å.
Sites, in units of the cell vectors:
Ga (0.0000, 0.0000, 0.0000)  4 Br 2.53, 2 Se 2.63
Se (0.0000, 0.0000, 0.5000)  2 Ga 2.63
Br (0.0000, 0.5000, 0.0000)  2 Ga 2.53
Br (0.5000, 0.0000, 0.0000)  2 Ga 2.53
F (0.5000, 0.5000, 0.5000)  4 Se 3.58, 8 Br 3.65

Calculated values
total magnetization = 2.24 μB per formula unit
E = -11.97 eV/f.u.
formation energy (no corrections) = -0.048 eV per atom
excess energy over the best structure of this formula in the dataset = 59 meV per atom

---

Entry 2:
# Tl2ReOs

A relaxed Tl2ReOs crystal (PBE, Alexandria via LeMat-Bulk).

a b c (Å): 4.7560 4.7560 4.7560
angles (deg): 60.00 60.00 60.00
Last column: nearest neighbours and their distance in Å.
Sites, in units of the cell vectors:
Os (0.5000, 0.5000, 0.5000)  4 Tl 2.91, 4 Re 2.91
Re (0.7500, 0.7500, 0.7500)  4 Os 2.91, 4 Tl 2.91
Tl (0.0000, 0.0000, 0.0000)  4 Tl 2.91, 4 Re 2.91
Tl (0.2500, 0.2500, 0.2500)  4 Tl 2.91, 4 Os 2.91

Calculated values
total magnetization = 0.00 μB per formula unit
E = -23.00 eV/f.u.
excess energy over the best structure of this formula in the dataset = 839 meV per atom
formation enthalpy at 0 K = 1.3527 eV/atom

---

Entry 3:
# Tm12HfSc7

A relaxed Tm12HfSc7 crystal (PBE, Alexandria via LeMat-Bulk).

a b c (Å): 8.8982 8.8982 8.8982
angles (deg): 108.35 108.35 108.35
Last column: nearest neighbours and their distance in Å.
Sites, in units of the cell vectors:
Tm (0.8052, 0.3204, 0.6002)  3 Sc 3.15-3.50, 3 Tm 3.23-3.48
Tm (0.6796, 0.3998, 0.1948)  3 Sc 3.15-3.50, 3 Tm 3.23-3.48
Tm (0.3980, 0.0785, 0.2906)  3 Sc 3.10-3.28, 3 Tm 3.23-3.48, 1 Hf 3.36
Tm (0.9215, 0.7094, 0.6020)  3 Sc 3.10-3.28, 3 Tm 3.23-3.48, 1 Hf 3.36
Tm (0.3998, 0.1948, 0.6796)  3 Sc 3.15-3.50, 3 Tm 3.23-3.48
Tm (0.7094, 0.6020, 0.9215)  3 Sc 3.10-3.28, 3 Tm 3.23-3.48, 1 Hf 3.36
Tm (0.2906, 0.3980, 0.0785)  3 Sc 3.10-3.28, 3 Tm 3.23-3.48, 1 Hf 3.36
Tm (0.6002, 0.8052, 0.3204)  3 Sc 3.15-3.50, 3 Tm 3.23-3.48
Tm (0.0785, 0.2906, 0.3980)  3 Sc 3.10-3.28, 3 Tm 3.23-3.48, 1 Hf 3.36
Tm (0.6020, 0.9215, 0.7094)  3 Sc 3.10-3.28, 3 Tm 3.23-3.48, 1 Hf 3.36
Tm (0.3204, 0.6002, 0.8052)  3 Sc 3.15-3.50, 3 Tm 3.23-3.48
Tm (0.1948, 0.6796, 0.3998)  3 Sc 3.15-3.50, 3 Tm 3.23-3.48
Hf (0.0000, 0.0000, 0.0000)  6 Sc 3.20, 6 Tm 3.36
Sc (0.1073, 0.6922, 0.0136)  4 Tm 3.10-3.32, 1 Hf 3.20, 3 Sc 3.24-3.35
Sc (0.3078, 0.9864, 0.8927)  4 Tm 3.10-3.32, 1 Hf 3.20, 3 Sc 3.24-3.35
Sc (0.9864, 0.8927, 0.3078)  4 Tm 3.10-3.32, 1 Hf 3.20, 3 Sc 3.24-3.35
Sc (0.5000, 0.5000, 0.5000)  12 Tm 3.28-3.58
Sc (0.0136, 0.1073, 0.6922)  4 Tm 3.10-3.32, 1 Hf 3.20, 3 Sc 3.24-3.35
Sc (0.6922, 0.0136, 0.1073)  4 Tm 3.10-3.32, 1 Hf 3.20, 3 Sc 3.24-3.35
Sc (0.8927, 0.3078, 0.9864)  4 Tm 3.10-3.32, 1 Hf 3.20, 3 Sc 3.24-3.35

Calculated values
total magnetization = 0.10 μB per formula unit
E = -104.29 eV/f.u.
formation enthalpy at 0 K = 0.1820 eV/atom

---

Entry 4:
# Sr2ScBe

A relaxed Sr2ScBe crystal (PBE, Alexandria via LeMat-Bulk).

a b c (Å): 3.6155 3.6155 9.6452
angles (deg): 90.00 90.00 90.00
Last column: nearest neighbours and their distance in Å.
Sites, in units of the cell vectors:
Sc (0.5000, 0.5000, 0.6657)  4 Be 2.78
Sr (0.0000, 0.0000, 0.9550)  4 Sr 3.62, 4 Sc 3.78, 1 Be 3.89
Sr (0.5000, 0.5000, 0.3277)  1 Sc 3.26, 4 Be 3.35, 4 Sr 3.62
Be (0.0000, 0.0000, 0.5516)  4 Sc 2.78

Calculated values
total magnetization = 0.00 μB per formula unit
E = -12.33 eV/f.u.
formation enthalpy at 0 K = 0.2718 eV/atom

---

Entry 5:
# CaCu2SnAu4

A relaxed CaCu2SnAu4 crystal (PBE, Alexandria via LeMat-Bulk).

a b c (Å): 4.7554 4.7554 8.1634
angles (deg): 73.07 73.07 60.00
Last column: nearest neighbours and their distance in Å.
Sites, in units of the cell vectors:
Ca (0.0000, 0.0000, 0.0000)  8 Au 2.94-2.97, 6 Cu 3.25
Cu (0.7422, 0.7422, 0.7735)  8 Au 2.79-3.01
Cu (0.2578, 0.2578, 0.2265)  8 Au 2.79-3.01
Sn (0.5000, 0.5000, 0.5000)  8 Au 2.80-2.88
Au (0.3788, 0.3788, 0.8636)  4 Cu 2.79-2.83, 1 Sn 2.80, 3 Ca 2.94
Au (0.8711, 0.8711, 0.3866)  3 Sn 2.88, 1 Ca 2.97, 4 Cu 2.97-3.01
Au (0.1289, 0.1289, 0.6134)  3 Sn 2.88, 1 Ca 2.97, 4 Cu 2.97-3.01
Au (0.6212, 0.6212, 0.1364)  4 Cu 2.79-2.83, 1 Sn 2.80, 3 Ca 2.94

Calculated values
total magnetization = 0.00 μB per formula unit
E = -28.83 eV/f.u.
formation enthalpy at 0 K = -0.1899 eV/atom

---

Entry 6:
# HfGePS2

A relaxed HfGePS2 crystal (PBE, Alexandria via LeMat-Bulk).

a b c (Å): 4.5711 4.5711 4.6780
angles (deg): 90.00 90.00 90.00
Last column: nearest neighbours and their distance in Å.
Sites, in units of the cell vectors:
P (0.0000, 0.0000, 0.5000)  2 Ge 2.34
Ge (0.0000, 0.0000, 0.0000)  4 S 2.29, 2 P 2.34
Hf (0.5000, 0.5000, 0.5000)  4 P 3.23, 8 S 3.27
S (0.0000, 0.5000, 0.0000)  2 Ge 2.29
S (0.5000, 0.0000, 0.0000)  2 Ge 2.29

Calculated values
total magnetization = 0.00 μB per formula unit
E = -26.78 eV/f.u.
formation energy (no corrections) = 0.291 eV per atom
excess energy over the best structure of this formula in the dataset = 413 meV per atom

---

Entry 7:
# CaGaSnHg

A relaxed CaGaSnHg crystal (PBE, Alexandria via LeMat-Bulk).

a b c (Å): 5.2077 5.2077 5.2077
angles (deg): 60.00 60.00 60.00
Last column: nearest neighbours and their distance in Å.
Sites, in units of the cell vectors:
Ca (0.7500, 0.7500, 0.7500)  4 Ga 3.19, 4 Hg 3.19
Hg (0.0000, 0.0000, 0.0000)  4 Sn 3.19, 4 Ca 3.19
Ga (0.5000, 0.5000, 0.5000)  4 Sn 3.19, 4 Ca 3.19
Sn (0.2500, 0.2500, 0.2500)  4 Hg 3.19, 4 Ga 3.19

Calculated values
total magnetization = 0.00 μB per formula unit
E = -10.45 eV/f.u.
formation enthalpy at 0 K = -0.2788 eV/atom